Material: Sr2CuCl2O2
Method: DFT, meta-GGA SCAN
State: PBEsol geometry

a b c (Å): 8.251 8.251 8.251
angles (deg): 152.45 152.45 39.35
Fractional coordinates of all 7 atoms:
Sr (0.108, 0.108, 0.000)
Sr (0.892, 0.892, 0.000)
Cu (0.500, 0.500, 0.000)
Cl (0.316, 0.316, 0.000)
Cl (0.684, 0.684, 0.000)
O (0.000, 0.500, 0.500)
O (0.500, 0.000, 0.500)

Values from the calculation:
DFT total energy = -14.947 eV per atom
ρ = 4.73 g cm⁻³
ΔE_f (raw) = -2352 meV/atom